Entry 1:
A plane-wave DFT calculation with PBE was carried out for a geometry-optimized CaTbPd4 structure.

Properties
- polymorph energy (0 for the lowest one) (kJ/mol of atoms) = 22.6
- uncorrected energy (eV/atom) = -5.076
- DOS(E_F) (states/eV/cell) = 4.43
- mass density (Mg/m³) = 7.8
- formation energy from the elements (meV per atom) = -509

a = 3.8911 Å, b = 3.8911 Å, c = 8.8194 Å
α = 90.00°, β = 90.00°, γ = 90.00°
Positions (direct):
Ca (0.0000, 0.0000, 0.0000)
Tb (0.5000, 0.5000, 0.5000)
Pd (0.0000, 0.5000, 0.2605)
Pd (0.0000, 0.5000, 0.7395)
Pd (0.5000, 0.0000, 0.2605)
Pd (0.5000, 0.0000, 0.7395)


Entry 2:
A plane-wave DFT calculation with PBE was carried out for a geometry-optimized CaTb2Pd structure.

Properties
- polymorph energy (0 for the lowest one) (kJ/mol of atoms) = 4.3
- uncorrected energy (eV/atom) = -4.474
- DOS(E_F) (states/eV/cell) = 4.54
- mass density (Mg/m³) = 6.5
- formation energy from the elements (meV per atom) = -360

a = 3.5487 Å, b = 3.5487 Å, c = 9.4144 Å
α = 90.00°, β = 90.00°, γ = 90.00°
Positions (direct):
Ca (0.0000, 0.0000, 0.0000)
Tb (0.5000, 0.5000, 0.3213)
Tb (0.5000, 0.5000, 0.6787)
Pd (0.0000, 0.0000, 0.5000)


Entry 3:
A plane-wave DFT calculation with PBE was carried out for a geometry-optimized Ca4TbPd5 structure.

Properties
- uncorrected energy (eV/atom) = -4.592
- DOS(E_F) (states/eV/cell) = 2.36
- mass density (Mg/m³) = 6.4
- formation energy from the elements (meV per atom) = -732

a = 3.5362 Å, b = 3.5362 Å, c = 17.6327 Å
α = 90.00°, β = 90.00°, γ = 90.00°
Positions (direct):
Ca (0.0000, 0.0000, 0.0994)
Ca (0.0000, 0.0000, 0.2977)
Ca (0.0000, 0.0000, 0.7023)
Ca (0.0000, 0.0000, 0.9006)
Tb (0.0000, 0.0000, 0.5000)
Pd (0.5000, 0.5000, 0.0000)
Pd (0.5000, 0.5000, 0.1993)
Pd (0.5000, 0.5000, 0.4073)
Pd (0.5000, 0.5000, 0.5927)
Pd (0.5000, 0.5000, 0.8007)


Entry 4:
A plane-wave DFT calculation with PBE was carried out for a geometry-optimized Ca3TbPd4 structure.

Properties
- uncorrected energy (eV/atom) = -4.674
- DOS(E_F) (states/eV/cell) = 2.40
- mass density (Mg/m³) = 6.6
- formation energy from the elements (meV per atom) = -748

a = 3.5289 Å, b = 3.5289 Å, c = 14.1823 Å
α = 90.00°, β = 90.00°, γ = 90.00°
Positions (direct):
Ca (0.0000, 0.0000, 0.0000)
Ca (0.0000, 0.0000, 0.2480)
Ca (0.0000, 0.0000, 0.7520)
Tb (0.0000, 0.0000, 0.5000)
Pd (0.5000, 0.5000, 0.1249)
Pd (0.5000, 0.5000, 0.3845)
Pd (0.5000, 0.5000, 0.6155)
Pd (0.5000, 0.5000, 0.8751)